(1)
First-principles (PBE) data for a relaxed structure of SrBrCl, as listed in the Alexandria database.

Calculated values
* density of states at the Fermi level: 0.0 states/eV/cell
* E_form (uncorrected): -2.29 eV/atom
* E: -4.0254 eV/atom

Cell: 5.134 5.134 7.248 Å, 90.00 90.00 90.00°
Fractional positions:
Sr (0.250, 0.250, 0.236)
Sr (0.750, 0.750, 0.764)
Br (0.250, 0.750, 0.500)
Br (0.750, 0.250, 0.500)
Cl (0.250, 0.750, 0.000)
Cl (0.750, 0.250, 0.000)

(2)
First-principles (PBE) data for a relaxed structure of Sc2CdCuNi, as listed in the Alexandria database.

Calculated values
* density of states at the Fermi level: 5.3 states/eV/cell
* energy of formation: 0.89 eV per atom
* offset from the most stable computed form: 0.441 eV/atom
* E: -3.8013 eV/atom

Cell: 5.240 5.240 4.598 Å, 90.00 90.00 90.00°
Fractional positions:
Sc (0.000, 0.500, 0.000)
Sc (0.500, 0.000, 0.000)
Cd (0.000, 0.000, 0.000)
Cu (0.500, 0.500, 0.500)
Ni (0.000, 0.000, 0.500)

(3)
First-principles (PBE) data for a relaxed structure of Li2PuCu2As2, as listed in the Alexandria database.

Calculated values
* density of states at the Fermi level: 12.2 states/eV/cell
* energy of formation: -0.56 eV per atom
* E: -5.6536 eV/atom

Cell: 8.047 8.047 8.047 Å, 29.75 29.75 29.75°
Fractional positions:
Li (0.143, 0.143, 0.143)
Li (0.857, 0.857, 0.857)
Pu (0.000, 0.000, 0.000)
Cu (0.437, 0.437, 0.437)
Cu (0.563, 0.563, 0.563)
As (0.256, 0.256, 0.256)
As (0.744, 0.744, 0.744)

(4)
First-principles (PBE) data for a relaxed structure of Ge4Pd5Pt, as listed in the Alexandria database.

Calculated values
* density of states at the Fermi level: 8.8 states/eV/cell
* energy of formation: -0.37 eV per atom
* E: -5.4169 eV/atom

Cell: 7.596 7.818 5.702 Å, 90.00 90.00 90.00°
Fractional positions:
Ge (0.057, 0.250, 0.100)
Ge (0.250, 0.577, 0.439)
Ge (0.250, 0.923, 0.439)
Ge (0.443, 0.250, 0.100)
Ge (0.557, 0.750, 0.900)
Ge (0.750, 0.077, 0.561)
Ge (0.750, 0.423, 0.561)
Ge (0.943, 0.750, 0.900)
Pd (0.054, 0.041, 0.761)
Pd (0.054, 0.459, 0.761)
Pd (0.250, 0.750, 0.056)
Pd (0.446, 0.041, 0.761)
Pd (0.446, 0.459, 0.761)
Pd (0.554, 0.541, 0.239)
Pd (0.554, 0.959, 0.239)
Pd (0.750, 0.250, 0.944)
Pd (0.946, 0.541, 0.239)
Pd (0.946, 0.959, 0.239)
Pt (0.250, 0.250, 0.444)
Pt (0.750, 0.750, 0.556)

(5)
First-principles (PBE) data for a relaxed structure of Ba2PmIO6, as listed in the Alexandria database.

Calculated values
* density of states at the Fermi level: 0.0 states/eV/cell
* E_form (uncorrected): -2.11 eV/atom
* E: -6.0995 eV/atom

Cell: 6.239 6.239 6.239 Å, 60.00 60.00 60.00°
Fractional positions:
Ba (0.250, 0.250, 0.250)
Ba (0.750, 0.750, 0.750)
Pm (0.000, 0.000, 0.000)
I (0.500, 0.500, 0.500)
O (0.261, 0.261, 0.739)
O (0.261, 0.739, 0.261)
O (0.261, 0.739, 0.739)
O (0.739, 0.261, 0.261)
O (0.739, 0.261, 0.739)
O (0.739, 0.739, 0.261)

(6)
First-principles (PBE) data for a relaxed structure of SbP2Cl, as listed in the Alexandria database.

Calculated values
* density of states at the Fermi level: 1.7 states/eV/cell
* E_form (uncorrected): 0.12 eV/atom
* offset from the most stable computed form: 0.157 eV/atom
* E: -4.0743 eV/atom

Cell: 3.844 3.852 13.862 Å, 90.00 90.00 90.00°
Fractional positions:
Sb (0.000, 0.000, 0.000)
Sb (0.500, 0.500, 0.500)
P (0.000, 0.000, 0.572)
P (0.000, 0.500, 0.661)
P (0.500, 0.000, 0.161)
P (0.500, 0.500, 0.072)
Cl (0.000, 0.500, 0.354)
Cl (0.500, 0.000, 0.854)

(7)
First-principles (PBE) data for a relaxed structure of DyHo3, as listed in the Alexandria database.

Calculated values
* density of states at the Fermi level: 6.4 states/eV/cell
* energy of formation: 0.00 eV per atom
* offset from the most stable computed form: 0.000 eV/atom
* E: -4.5804 eV/atom

Cell: 3.603 5.579 6.240 Å, 90.00 90.00 90.00°
Fractional positions:
Dy (0.000, 0.000, 0.000)
Ho (0.000, 0.500, 0.334)
Ho (0.500, 0.000, 0.500)
Ho (0.500, 0.500, 0.834)

(8)
First-principles (PBE) data for a relaxed structure of Ho3H12Pd5, as listed in the Alexandria database.

Calculated values
* density of states at the Fermi level: 27.8 states/eV/cell
* E: -4.3369 eV/atom

Cell: 10.191 10.191 10.191 Å, 109.47 109.47 109.47°
Fractional positions:
Ho (0.125, 0.250, 0.375)
Ho (0.125, 0.375, 0.750)
Ho (0.250, 0.375, 0.125)
Ho (0.250, 0.875, 0.625)
Ho (0.375, 0.125, 0.250)
Ho (0.375, 0.750, 0.125)
Ho (0.625, 0.250, 0.875)
Ho (0.625, 0.875, 0.750)
Ho (0.750, 0.125, 0.375)
Ho (0.750, 0.625, 0.875)
Ho (0.875, 0.625, 0.250)
Ho (0.875, 0.750, 0.625)
H (0.029, 0.202, 0.119)
H (0.029, 0.327, 0.909)
H (0.083, 0.702, 0.673)
H (0.083, 0.881, 0.409)
H (0.091, 0.619, 0.417)
H (0.091, 0.971, 0.673)
H (0.119, 0.029, 0.202)
H (0.119, 0.591, 0.917)
H (0.173, 0.202, 0.583)
H (0.173, 0.471, 0.591)
H (0.202, 0.119, 0.029)
H (0.202, 0.583, 0.173)
H (0.298, 0.327, 0.917)
H (0.298, 0.471, 0.381)
H (0.327, 0.909, 0.029)
H (0.327, 0.917, 0.298)
H (0.381, 0.298, 0.471)
H (0.381, 0.583, 0.909)
H (0.409, 0.083, 0.881)
H (0.409, 0.827, 0.529)
H (0.417, 0.091, 0.619)
H (0.417, 0.827, 0.798)
H (0.471, 0.381, 0.298)
H (0.471, 0.591, 0.173)
H (0.529, 0.409, 0.827)
H (0.529, 0.619, 0.702)
H (0.583, 0.173, 0.202)
H (0.583, 0.909, 0.381)
H (0.591, 0.173, 0.471)
H (0.591, 0.917, 0.119)
H (0.619, 0.417, 0.091)
H (0.619, 0.702, 0.529)
H (0.673, 0.083, 0.702)
H (0.673, 0.091, 0.971)
H (0.702, 0.529, 0.619)
H (0.702, 0.673, 0.083)
H (0.798, 0.417, 0.827)
H (0.798, 0.881, 0.971)
H (0.827, 0.529, 0.409)
H (0.827, 0.798, 0.417)
H (0.881, 0.409, 0.083)
H (0.881, 0.971, 0.798)
H (0.909, 0.029, 0.327)
H (0.909, 0.381, 0.583)
H (0.917, 0.119, 0.591)
H (0.917, 0.298, 0.327)
H (0.971, 0.673, 0.091)
H (0.971, 0.798, 0.881)
Pd (0.000, 0.000, 0.000)
Pd (0.000, 0.000, 0.500)
Pd (0.000, 0.500, 0.000)
Pd (0.000, 0.500, 0.500)
Pd (0.125, 0.750, 0.875)
Pd (0.125, 0.875, 0.250)
Pd (0.250, 0.125, 0.875)
Pd (0.250, 0.625, 0.375)
Pd (0.375, 0.250, 0.625)
Pd (0.375, 0.625, 0.750)
Pd (0.500, 0.000, 0.000)
Pd (0.500, 0.000, 0.500)
Pd (0.500, 0.500, 0.000)
Pd (0.500, 0.500, 0.500)
Pd (0.625, 0.375, 0.250)
Pd (0.625, 0.750, 0.375)
Pd (0.750, 0.375, 0.625)
Pd (0.750, 0.875, 0.125)
Pd (0.875, 0.125, 0.750)
Pd (0.875, 0.250, 0.125)

(9)
First-principles (PBE) data for a relaxed structure of Dy3Ho8Er4, as listed in the Alexandria database.

Calculated values
* density of states at the Fermi level: 28.9 states/eV/cell
* energy of formation: 0.41 eV per atom
* E: -4.1677 eV/atom

Cell: 9.169 9.169 6.662 Å, 111.22 111.22 87.81°
Fractional positions:
Dy (0.000, 0.000, 0.000)
Dy (0.000, 0.500, 0.000)
Dy (0.500, 0.000, 0.000)
Ho (0.141, 0.859, 0.500)
Ho (0.232, 0.232, 0.964)
Ho (0.236, 0.236, 0.489)
Ho (0.249, 0.751, 0.000)
Ho (0.751, 0.249, 0.000)
Ho (0.764, 0.764, 0.511)
Ho (0.768, 0.768, 0.036)
Ho (0.859, 0.141, 0.500)
Er (0.000, 0.500, 0.500)
Er (0.500, 0.000, 0.500)
Er (0.500, 0.500, 0.000)
Er (0.500, 0.500, 0.500)